1.
4
Lattice="2.813 0.000 0.000 0.000 4.603 0.000 -1.407 -2.302 5.307" Properties=species:S:1:pos:R:3 comment="BaNiOs2 PBEsol optimized geometry" mass_density_g_cm3=13.9 space_group="No. 71" energy_ev_per_atom=-7.2711 ef_ev_per_atom=0.91 crystal_system=orthorhombic pbc="T T T"
Os 1.407 2.302 2.287
Os 0.000 0.000 3.019
Ni 0.000 2.302 0.000
Ba 1.407 0.000 0.000


2.
4
Lattice="-1.599 -2.511 3.619 -0.508 -4.640 -0.410 2.883 -2.885 2.306" Properties=species:S:1:pos:R:3 comment="BaNi2P PBEsol optimized geometry" mass_density_g_cm3=6.5 space_group="No. 216" energy_ev_per_atom=-4.5297 ef_ev_per_atom=0.53 crystal_system=cubic pbc="T T T"
Ba 0.388 -5.018 2.757
Ni 0.000 0.000 0.000
Ni 0.194 -2.509 1.379
P 0.582 -7.527 4.136


3.
7
Lattice="-3.145 -2.619 3.539 3.960 -2.884 -2.298 2.439 3.942 2.791" Properties=species:S:1:pos:R:3 comment="BaNi2P4 PBEsol optimized geometry" mass_density_g_cm3=5.2 space_group="No. 139" energy_ev_per_atom=-6.0821 ef_ev_per_atom=-0.71 crystal_system=tetragonal pbc="T T T"
Ba 0.000 0.000 0.000
Ni -0.149 -0.715 3.475
Ni 3.403 -0.847 0.556
P 0.236 -2.430 2.158
P 3.018 0.869 1.873
P 1.292 0.933 3.291
P 1.962 -2.495 0.740


4.
8
Lattice="4.817 0.000 0.000 0.000 4.817 0.000 -2.408 -2.408 7.199" Properties=species:S:1:pos:R:3 comment="BaNi2P PBEsol optimized geometry" mass_density_g_cm3=5.7 space_group="No. 141" energy_ev_per_atom=-5.5781 ef_ev_per_atom=-0.51 crystal_system=tetragonal pbc="T T T"
Ni -1.204 0.000 5.400
Ni 1.204 0.000 5.400
Ni 2.408 3.612 1.800
Ni 2.408 1.204 1.800
Ba 0.000 2.408 3.600
Ba 0.000 0.000 0.000
P 2.408 2.408 0.000
P 2.408 0.000 3.600


5.
5
Lattice="-2.115 -3.767 1.029 0.619 -1.829 -5.419 5.020 -2.437 1.396" Properties=species:S:1:pos:R:3 comment="Ba2TcNiP PBEsol optimized geometry" mass_density_g_cm3=5.2 space_group="No. 123" energy_ev_per_atom=-5.0875 ef_ev_per_atom=0.42 crystal_system=tetragonal pbc="T T T"
Tc 0.000 0.000 0.000
Ni 1.762 -4.017 -1.496
Ba 0.310 -0.914 -2.709
Ba 2.510 -1.219 0.698
P -1.058 -1.884 0.515


6.
5
Lattice="4.871 0.000 0.000 0.000 4.871 0.000 0.000 0.000 4.871" Properties=species:S:1:pos:R:3 comment="BaNi3Pb PBEsol optimized geometry" mass_density_g_cm3=7.5 space_group="No. 221" energy_ev_per_atom=-3.3549 ef_ev_per_atom=1.57 crystal_system=cubic pbc="T T T"
Ni 0.000 2.436 0.000
Ni 2.436 0.000 0.000
Ni 0.000 0.000 2.436
Pb 2.436 2.436 2.436
Ba 0.000 0.000 0.000


7.
4
Lattice="4.382 0.000 0.000 0.000 5.299 -0.029 0.000 -2.103 4.864" Properties=species:S:1:pos:R:3 comment="BaNiPb2 PBEsol optimized geometry" mass_density_g_cm3=9.0 space_group="No. 65" energy_ev_per_atom=-4.3052 ef_ev_per_atom=-0.23 crystal_system=orthorhombic pbc="T T T"
Pb 0.000 -0.830 4.023
Pb 0.000 4.026 0.813
Ba 2.191 1.598 2.418
Ni 2.191 0.000 0.000


8.
5
Lattice="5.036 0.000 0.000 0.000 5.036 0.000 0.000 0.000 5.331" Properties=species:S:1:pos:R:3 comment="BaNiSn2Pb PBEsol optimized geometry" mass_density_g_cm3=7.9 space_group="No. 123" energy_ev_per_atom=-4.3906 ef_ev_per_atom=-0.23 crystal_system=tetragonal pbc="T T T"
Ni 0.000 0.000 0.000
Sn 2.518 0.000 0.000
Sn 0.000 2.518 0.000
Ba 2.518 2.518 2.666
Pb 0.000 0.000 2.666


9.
5
Lattice="-4.876 0.133 0.069 -0.091 -4.978 3.162 0.157 3.159 4.978" Properties=species:S:1:pos:R:3 comment="Rb2BaNiPd PBEsol optimized geometry" mass_density_g_cm3=4.6 space_group="No. 123" energy_ev_per_atom=-2.6634 ef_ev_per_atom=0.60 crystal_system=tetragonal pbc="T T T"
Ba -2.405 -0.843 4.104
Rb -0.046 -2.489 1.581
Rb 0.078 1.580 2.489
Ni 0.000 0.000 0.000
Pd -2.438 0.066 0.034


10.
5
Lattice="5.060 0.000 0.000 0.000 5.060 0.000 0.000 0.000 5.133" Properties=species:S:1:pos:R:3 comment="BaTiNiPd2 PBEsol optimized geometry" mass_density_g_cm3=5.8 space_group="No. 123" energy_ev_per_atom=-3.6620 ef_ev_per_atom=2.05 crystal_system=tetragonal pbc="T T T"
Pd 2.530 0.000 0.000
Pd 0.000 2.530 0.000
Ti 0.000 0.000 2.566
Ba 0.000 0.000 0.000
Ni 2.530 2.530 2.566


11.
4
Lattice="-2.783 3.127 1.356 -3.748 -1.115 2.018 0.330 0.839 5.860" Properties=species:S:1:pos:R:3 comment="BaNiPt2 PBEsol optimized geometry" mass_density_g_cm3=10.8 space_group="No. 8" energy_ev_per_atom=-5.9671 ef_ev_per_atom=-0.41 crystal_system=monoclinic pbc="T T T"
Pt 0.317 0.839 5.839
Pt -4.146 2.173 7.883
Ni -2.074 0.678 1.323
Ba -3.069 1.426 4.666


12.
4
Lattice="-1.904 2.501 0.420 -1.721 -0.888 -2.511 -4.359 -4.063 4.424" Properties=species:S:1:pos:R:3 comment="BaNiPt2 PBEsol optimized geometry" mass_density_g_cm3=13.0 space_group="No. 123" energy_ev_per_atom=-5.5438 ef_ev_per_atom=0.01 crystal_system=tetragonal pbc="T T T"
Ba -1.813 0.806 -1.045
Pt -2.960 -2.759 3.004
Pt -1.400 -1.305 1.420
Ni -3.992 -1.226 1.167


Computed values of magnetization (unit: μB/cell) for the preceding records, in sequence: 0.0, 0.0, 0.0, 0.0, 0.5, 0.0, 0.0, 0.0, 0.3, 2.6, 0.0, 0.9.